[1]
First-principles (PBE) data for crystalline PaAg3I6Br2 at its relaxed geometry, as listed in Alexandria via LeMat-Bulk.

Calculated values
Raw total energy, eV per atom: -3.143
E_form (uncorrected), eV per atom: -0.5848

abc: 15.0036 8.5928 7.5424
angles: 90.00 109.50 90.00
Space group C2/m (No. 12)
Unique sites:
Pa  0.0000  0.0000  0.0000 [2 per cell]
Ag  0.0000  0.5000  0.5000 [2 per cell]
Ag  0.2500  0.2500  0.0000 [4 per cell]
I  0.1134  0.2442  0.2491 [8 per cell]
I  0.1240  0.0000  0.7579 [4 per cell]
Br  0.1508  0.5000  0.7837 [4 per cell]

---

[2]
First-principles (PBE) data for crystalline NaTlAg3 at its relaxed geometry, as listed in Alexandria via LeMat-Bulk.

Calculated values
DOS at the Fermi energy, states/eV/f.u.: 1.83
Raw total energy, eV per atom: -1.843
Calculated formation energy, eV per atom: 0.605
Relative energy among the computed polymorphs, meV/atom: 223.1

abc: 5.1739 5.1739 5.1739
angles: 90.00 90.00 90.00
Space group Pm-3m (No. 221)
Unique sites:
Na  0.0000  0.0000  0.0000 [1 per cell]
Tl  0.5000  0.5000  0.5000 [1 per cell]
Ag  0.0000  0.0000  0.5000 [3 per cell]

---

[3]
First-principles (PBE) data for crystalline KHg2TePd at its relaxed geometry, as listed in Alexandria via LeMat-Bulk.

Calculated values
DOS at the Fermi energy, states/eV/f.u.: 2.31
Raw total energy, eV per atom: -2.361
E_form (uncorrected), eV per atom: -0.3536

abc: 5.3335 5.3335 5.5316
angles: 90.00 90.00 90.00
Space group P4/mmm (No. 123)
Unique sites:
K  0.0000  0.0000  0.0000 [1 per cell]
Hg  0.0000  0.5000  0.5000 [2 per cell]
Te  0.5000  0.5000  0.0000 [1 per cell]
Pd  0.5000  0.5000  0.5000 [1 per cell]

---

[4]
First-principles (PBE) data for crystalline TaAlTe4 at its relaxed geometry, as listed in Alexandria via LeMat-Bulk.

Calculated values
DOS at the Fermi energy, states/eV/f.u.: 6.00
Raw total energy, eV per atom: -3.576
Relative energy among the computed polymorphs, meV/atom: 1277.7
E_form (uncorrected), eV per atom: 1.1180

abc: 8.7877 8.7877 8.7877
angles: 90.00 90.00 90.00
Space group F-43m (No. 216)
Unique sites:
Ta  0.0000  0.0000  0.0000 [4 per cell]
Al  0.2500  0.2500  0.2500 [4 per cell]
Te  0.1258  0.1258  0.6258 [16 per cell]

---

[5]
First-principles (PBE) data for crystalline Tb2YPt3 at its relaxed geometry, as listed in Alexandria via LeMat-Bulk.

Calculated values
DOS at the Fermi energy, states/eV/f.u.: 3.42
Raw total energy, eV per atom: -6.844
Calculated formation energy, eV per atom: -1.203
Relative energy among the computed polymorphs, meV/atom: 0.0

abc: 4.9907 14.9689 3.4619
angles: 90.00 90.00 90.00
Space group Pmmn (No. 59, origin choice 2)
Unique sites:
Tb  0.2500  0.0837  0.9996 [4 per cell]
Y  0.2500  0.7500  0.0008 [2 per cell]
Pt  0.2500  0.2500  0.4991 [2 per cell]
Pt  0.2500  0.5831  0.5004 [4 per cell]

---

[6]
First-principles (PBE) data for crystalline SrGaBiIr2 at its relaxed geometry, as listed in Alexandria via LeMat-Bulk.

Calculated values
DOS at the Fermi energy, states/eV/f.u.: 8.22
Raw total energy, eV per atom: -3.254
Calculated formation energy, eV per atom: 2.009

abc: 5.1239 5.1239 6.0262
angles: 90.00 90.00 90.00
Space group P4/mmm (No. 123)
Unique sites:
Sr  0.0000  0.0000  0.0000 [1 per cell]
Ga  0.5000  0.5000  0.5000 [1 per cell]
Bi  0.0000  0.0000  0.5000 [1 per cell]
Ir  0.0000  0.5000  0.0000 [2 per cell]